No. 1
A plane-wave DFT calculation with PBE was carried out for a relaxed structure of Bi2I.

a b c (Å): 3.9033 3.9033 13.4735
angles (deg): 90.00 90.00 90.00
Fractional positions:
Bi: 0.0000 0.0000 0.1811
Bi: 0.0000 0.0000 0.8189
Bi: 0.5000 0.5000 0.3189
Bi: 0.5000 0.5000 0.6811
I: 0.0000 0.0000 0.5000
I: 0.5000 0.5000 0.0000

=====

No. 2
A plane-wave DFT calculation with PBE was carried out for a relaxed structure of BiI.

Summary:
Excess energy over the best structure of this formula in the dataset, eV/atom: 0.532

a b c (Å): 10.5105 10.5105 3.6409
angles (deg): 90.00 90.00 90.00
Fractional positions:
Bi: 0.1596 0.1596 0.0000
Bi: 0.3404 0.6596 0.5000
Bi: 0.6596 0.3404 0.5000
Bi: 0.8404 0.8404 0.0000
I: 0.1395 0.8605 0.0000
I: 0.3605 0.3605 0.5000
I: 0.6395 0.6395 0.5000
I: 0.8605 0.1395 0.0000

=====

No. 3
A plane-wave DFT calculation with PBE was carried out for a relaxed structure of Bi3I2.

a b c (Å): 11.8157 11.8157 4.5077
angles (deg): 95.61 95.61 138.17
Fractional positions:
Bi: 0.0190 0.2551 0.3154
Bi: 0.1740 0.1740 0.8887
Bi: 0.2551 0.0190 0.3154
Bi: 0.7449 0.9810 0.6846
Bi: 0.8260 0.8260 0.1113
Bi: 0.9810 0.7449 0.6846
I: 0.0000 0.5000 0.5000
I: 0.4046 0.5954 0.0000
I: 0.5000 0.0000 0.5000
I: 0.5954 0.4046 0.0000

=====

No. 4
A plane-wave DFT calculation with PBE was carried out for a relaxed structure of BiI.

Summary:
Excess energy over the best structure of this formula in the dataset, eV/atom: 0.330

a b c (Å): 10.2851 9.1796 6.9433
angles (deg): 77.91 60.78 41.31
Fractional positions:
Bi: 0.0757 0.6743 0.6743
Bi: 0.3257 0.9243 0.9243
Bi: 0.6743 0.0757 0.0757
Bi: 0.9243 0.3257 0.3257
I: 0.1833 0.1833 0.5667
I: 0.4333 0.4333 0.8167
I: 0.5667 0.5667 0.1833
I: 0.8167 0.8167 0.4333

=====

No. 5
A plane-wave DFT calculation with PBE was carried out for a relaxed structure of BiI.

Summary:
Excess energy over the best structure of this formula in the dataset, eV/atom: 0.569

a b c (Å): 6.7374 6.7374 6.7374
angles (deg): 90.00 90.00 90.00
Fractional positions:
Bi: 0.0000 0.0000 0.0000
Bi: 0.0000 0.5000 0.5000
Bi: 0.5000 0.0000 0.5000
Bi: 0.5000 0.5000 0.0000
I: 0.0000 0.0000 0.5000
I: 0.0000 0.5000 0.0000
I: 0.5000 0.0000 0.0000
I: 0.5000 0.5000 0.5000

=====

No. 6
A plane-wave DFT calculation with PBE was carried out for a relaxed structure of BiI.

Summary:
Excess energy over the best structure of this formula in the dataset, eV/atom: 0.231

a b c (Å): 15.7436 5.3078 3.9123
angles (deg): 90.00 104.00 90.00
Fractional positions:
Bi: 0.0997 0.0000 0.0970
Bi: 0.4003 0.5000 0.9030
Bi: 0.5997 0.5000 0.0970
Bi: 0.9003 0.0000 0.9030
I: 0.1256 0.5000 0.6220
I: 0.3744 0.0000 0.3780
I: 0.6256 0.0000 0.6220
I: 0.8744 0.5000 0.3780

=====

Number 1: E_form (uncorrected) 0.067 eV per atom, density of states at the Fermi level 4.27 states/eV per cell. Number 2: E_form (uncorrected) 0.243 eV per atom, density of states at the Fermi level 7.10 states/eV per cell. Number 3: E_form (uncorrected) -0.074 eV per atom, density of states at the Fermi level 1.52 states/eV per cell. Number 4: E_form (uncorrected) 0.042 eV per atom, density of states at the Fermi level 0.73 states/eV per cell. Number 5: E_form (uncorrected) 0.280 eV per atom, density of states at the Fermi level 6.89 states/eV per cell. Number 6: E_form (uncorrected) -0.058 eV per atom, density of states at the Fermi level 3.67 states/eV per cell.